(1)
The following is a DFT calculation (SCAN) of a crystal of KRbTc2Sb relaxed with PBEsol.

abc: 5.0293 5.0293 6.3812
angles: 90.00 90.00 90.00
Closest atoms and distances in Å follow each position.
Positions (direct):
K  0.0000  0.0000  0.0000  4 Rb 3.56
Rb  0.5000  0.5000  0.0000  2 Sb 3.19, 4 K 3.56
Tc  0.0000  0.5000  0.5000  2 Sb 2.51
Tc  0.5000  0.0000  0.5000  2 Sb 2.51
Sb  0.5000  0.5000  0.5000  4 Tc 2.51

## Properties
Energy relative to the elements, uncorrected   1.214 eV/atom
Fermi-level density of states   0.60 states/eV/atom
Uncorrected energy   -130.38 eV/cell
Space group   P4/mmm, No. 123


(2)
The following is a DFT calculation (SCAN) of a crystal of InSi2Sb relaxed with PBEsol.

abc: 4.8776 4.8776 4.8776
angles: 60.00 60.00 60.00
Closest atoms and distances in Å follow each position.
Positions (direct):
In  0.0000  0.0000  0.0000  4 Sb 2.99, 4 Si 2.99
Si  0.2500  0.2500  0.2500  4 Si 2.99, 4 In 2.99
Si  0.5000  0.5000  0.5000  4 Sb 2.99, 4 Si 2.99
Sb  0.7500  0.7500  0.7500  4 Si 2.99, 4 In 2.99

## Properties
Energy relative to the elements, uncorrected   0.697 eV/atom
Fermi-level density of states   0.49 states/eV/atom
Uncorrected energy   -87.89 eV/cell
Space group   F-43m, No. 216
Energy above the lowest structure with this stoichiometry   1.59 eV/f.u.


(3)
The following is a DFT calculation (SCAN) of a crystal of CdGePb3 relaxed with PBEsol.

abc: 5.4621 5.4621 5.4621
angles: 90.00 90.00 90.00
Closest atoms and distances in Å follow each position.
Positions (direct):
Cd  0.0000  0.0000  0.0000  12 Pb 3.86
Ge  0.5000  0.5000  0.5000  6 Pb 2.73
Pb  0.0000  0.5000  0.5000  2 Ge 2.73
Pb  0.5000  0.0000  0.5000  2 Ge 2.73
Pb  0.5000  0.5000  0.0000  2 Ge 2.73

## Properties
Energy of formation   233 kJ/mol of formula units
Fermi-level density of states   0.60 states/eV/atom
Uncorrected energy   -274.43 eV/cell
Space group   Pm-3m, No. 221


(4)
The following is a DFT calculation (SCAN) of a crystal of Ca2LaSc relaxed with PBEsol.

abc: 3.6989 3.6989 9.9649
angles: 90.00 90.00 90.00
Closest atoms and distances in Å follow each position.
Positions (direct):
Ca  0.0000  0.0000  0.0000  8 Ca 3.70-3.87, 4 La 3.79
Ca  0.5000  0.5000  0.2863  4 Sc 3.50, 8 Ca 3.70-3.87
La  0.5000  0.5000  0.7252  4 Sc 3.32, 4 La 3.70
Sc  0.0000  0.0000  0.5196  4 La 3.32, 4 Ca 3.50, 4 Sc 3.70

## Properties
Energy of formation   37 kJ/mol of formula units
Fermi-level density of states   1.04 states/eV/atom
Uncorrected energy   -76.28 eV/cell
Space group   P4mm, No. 99
Energy above the lowest structure with this stoichiometry   0.00 eV/f.u.


(5)
The following is a DFT calculation (SCAN) of a crystal of KBa2InCu relaxed with PBEsol.

abc: 6.7564 6.7564 4.9509
angles: 90.00 90.00 90.00
Closest atoms and distances in Å follow each position.
Positions (direct):
K  0.0000  0.0000  0.0000  8 Ba 4.19
Ba  0.0000  0.5000  0.5000  2 In 3.38
Ba  0.5000  0.0000  0.5000  2 In 3.38
In  0.5000  0.5000  0.5000  2 Cu 2.48
Cu  0.5000  0.5000  0.0000  2 In 2.48

## Properties
Energy of formation   62 kJ/mol of formula units
Fermi-level density of states   1.15 states/eV/atom
Uncorrected energy   -135.38 eV/cell
Space group   P4/mmm, No. 123


(6)
The following is a DFT calculation (SCAN) of a crystal of CrInRh2 relaxed with PBEsol.

abc: 3.1027 3.1150 6.0782
angles: 90.00 90.00 90.00
Closest atoms and distances in Å follow each position.
Positions (direct):
Cr  0.0000  0.0000  0.0000  8 Rh 2.60
In  0.0000  0.0000  0.5000  8 Rh 2.75, 2 Cr 3.04
Rh  0.5000  0.5000  0.2275  4 Cr 2.60, 4 In 2.75, 1 Rh 2.77
Rh  0.5000  0.5000  0.7725  4 Cr 2.60, 4 In 2.75, 1 Rh 2.77

## Properties
Energy of formation   -122 kJ/mol of formula units
Fermi-level density of states   0.45 states/eV/atom
Uncorrected energy   -120.58 eV/cell
Space group   Pmmm, No. 47


(7)
The following is a DFT calculation (SCAN) of a crystal of Li3CaC relaxed with PBEsol.

abc: 4.2327 4.2327 4.2327
angles: 90.00 90.00 90.00
Closest atoms and distances in Å follow each position.
Positions (direct):
Li  0.0000  0.0000  0.5000  2 C 2.12
Li  0.0000  0.5000  0.0000  2 C 2.12
Li  0.5000  0.0000  0.0000  2 C 2.12
Ca  0.5000  0.5000  0.5000  12 Li 2.99
C  0.0000  0.0000  0.0000  6 Li 2.12

## Properties
Energy of formation   175 kJ/mol of formula units
Fermi-level density of states   0.31 states/eV/atom
Uncorrected energy   -25.12 eV/cell
Space group   Pm-3m, No. 221


(8)
The following is a DFT calculation (SCAN) of a crystal of MgSc3 relaxed with PBEsol.

abc: 6.0447 6.0447 6.0447
angles: 145.67 131.49 60.77
Closest atoms and distances in Å follow each position.
Positions (direct):
Mg  0.0000  0.0000  0.0000  8 Sc 3.01-3.06
Sc  0.2329  0.7329  0.5000  2 Mg 3.01, 6 Sc 3.08-3.31
Sc  0.5000  0.5000  0.0000  4 Mg 3.06, 4 Sc 3.31
Sc  0.7671  0.2671  0.5000  2 Mg 3.01, 6 Sc 3.08-3.31

## Properties
Energy of formation   4 kJ/mol of formula units
Fermi-level density of states   1.06 states/eV/atom
Uncorrected energy   -47.64 eV/cell
Space group   Immm, No. 71
Energy above the lowest structure with this stoichiometry   0.10 eV/f.u.


(9)
The following is a DFT calculation (SCAN) of a crystal of Sb2MoW relaxed with PBEsol.

abc: 8.7708 8.7708 8.7708
angles: 20.61 20.61 20.61
Closest atoms and distances in Å follow each position.
Positions (direct):
Sb  0.2493  0.2493  0.2493  3 Mo 2.79, 3 W 2.82
Sb  0.7507  0.7507  0.7507  3 Mo 2.79, 3 W 2.82
Mo  0.5000  0.5000  0.5000  6 Sb 2.79
W  0.0000  0.0000  0.0000  6 Sb 2.82, 6 W 3.14

## Properties
Energy relative to the elements, uncorrected   0.664 eV/atom
Fermi-level density of states   1.00 states/eV/atom
Uncorrected energy   -176.44 eV/cell
Space group   R-3m, No. 166
Energy above the lowest structure with this stoichiometry   0.00 eV/f.u.


(10)
The following is a DFT calculation (SCAN) of a crystal of Ni2AsW relaxed with PBEsol.

abc: 4.1556 4.1556 4.1556
angles: 119.85 119.85 90.27
Closest atoms and distances in Å follow each position.
Positions (direct):
Ni  0.0000  0.0000  0.0000  4 As 2.55, 4 Ni 2.55
Ni  0.7500  0.2500  0.5000  4 W 2.55, 4 Ni 2.55
As  0.2500  0.7500  0.5000  4 W 2.55, 4 Ni 2.55
W  0.5000  0.5000  0.0000  4 Ni 2.55, 4 As 2.55

## Properties
Energy of formation   65 kJ/mol of formula units
Fermi-level density of states   0.81 states/eV/atom
Uncorrected energy   -121.55 eV/cell
Space group   I-4m2, No. 119


(11)
The following is a DFT calculation (SCAN) of a crystal of CsNaMg2I relaxed with PBEsol.

abc: 5.8848 5.8848 6.2914
angles: 90.00 90.00 90.00
Closest atoms and distances in Å follow each position.
Positions (direct):
Cs  0.0000  0.0000  0.0000  4 I 4.16, 8 Mg 4.31
Na  0.5000  0.5000  0.5000  4 Mg 2.94, 2 I 3.15
Mg  0.0000  0.5000  0.5000  2 Na 2.94
Mg  0.5000  0.0000  0.5000  2 Na 2.94
I  0.5000  0.5000  0.0000  2 Na 3.15

## Properties
Energy relative to the elements, uncorrected   -0.095 eV/atom
Fermi-level density of states   0.46 states/eV/atom
Uncorrected energy   -89.19 eV/cell
Space group   P4/mmm, No. 123


(12)
The following is a DFT calculation (SCAN) of a crystal of KYAl relaxed with PBEsol.

abc: 8.0757 8.0757 8.0757
angles: 154.07 154.07 36.99
Closest atoms and distances in Å follow each position.
Positions (direct):
K  0.0000  0.0000  0.0000  4 K 3.62, 4 Al 3.65
Y  0.2682  0.2682  0.0000  4 Al 2.97
Al  0.6697  0.6697  0.0000  4 Y 2.97

## Properties
Energy of formation   40 kJ/mol of formula units
Fermi-level density of states   0.78 states/eV/atom
Uncorrected energy   -43.51 eV/cell
Space group   I4mm, No. 107


Question: Number 8 is which compound?
Answer: MgSc3